Entry 1:
The following is a GGA-PBE calculation of a geometry-optimized RbGaC structure, from the Alexandria database.

Unit cell a=6.544 b=6.544 c=6.559 alpha=115.91 beta=115.91 gamma=41.30
Positions (direct):
Rb1 0.096 0.096 0.344
Rb2 0.904 0.904 0.656
Ga1 0.295 0.295 0.035
Ga2 0.705 0.705 0.965
C1 0.449 0.449 0.002
C2 0.551 0.551 0.998

Summary:
Energy relative to the elements ... 147 meV/atom
Symmetry ... C2/m


Entry 2:
The following is a GGA-PBE calculation of a geometry-optimized PdAuF structure, from the Alexandria database.

Unit cell a=4.268 b=4.268 c=2.838 alpha=90.00 beta=90.00 gamma=120.00
Positions (direct):
Pd1 0.000 0.000 0.000
Au1 0.333 0.667 0.500
F1 0.667 0.333 0.000

Summary:
Distance to the lowest polymorph of the same formula ... 0.186 eV per atom
Symmetry ... P-6m2


Entry 3:
The following is a GGA-PBE calculation of a geometry-optimized Ac3Zn3Ni2 structure, from the Alexandria database.

Unit cell a=5.965 b=5.965 c=16.685 alpha=90.00 beta=90.00 gamma=139.48
Positions (direct):
Ac1 0.057 0.943 0.604
Ac2 0.057 0.943 0.896
Ac3 0.337 0.663 0.750
Ac4 0.663 0.337 0.250
Ac5 0.943 0.057 0.104
Ac6 0.943 0.057 0.396
Zn1 0.327 0.673 0.533
Zn2 0.327 0.673 0.967
Zn3 0.370 0.630 0.250
Zn4 0.630 0.370 0.750
Zn5 0.673 0.327 0.033
Zn6 0.673 0.327 0.467
Ni1 0.235 0.765 0.115
Ni2 0.235 0.765 0.385
Ni3 0.765 0.235 0.615
Ni4 0.765 0.235 0.885

Summary:
Energy relative to the elements ... -286 meV/atom
Distance to the lowest polymorph of the same formula ... 0.013 eV per atom
Symmetry ... Cmcm


Entry 4:
The following is a GGA-PBE calculation of a geometry-optimized TiNb2PbO8 structure, from the Alexandria database.

Unit cell a=5.185 b=5.185 c=7.036 alpha=98.19 beta=98.19 gamma=75.03
Positions (direct):
Ti1 0.000 0.000 0.000
Nb1 0.421 0.421 0.258
Nb2 0.579 0.579 0.742
Pb1 0.000 0.000 0.500
O1 0.221 0.776 0.798
O2 0.224 0.779 0.202
O3 0.239 0.239 0.060
O4 0.335 0.335 0.485
O5 0.665 0.665 0.515
O6 0.761 0.761 0.940
O7 0.776 0.221 0.798
O8 0.779 0.224 0.202

Summary:
Symmetry ... C2/m
Energy ... -0.3061 hartree per atom


Entry 5:
The following is a GGA-PBE calculation of a geometry-optimized Te2Se structure, from the Alexandria database.

Unit cell a=5.020 b=5.020 c=7.337 alpha=90.00 beta=90.00 gamma=120.00
Positions (direct):
Te1 0.000 0.000 0.000
Te2 0.000 0.000 0.500
Te3 0.333 0.667 0.250
Te4 0.667 0.333 0.750
Se1 0.333 0.667 0.750
Se2 0.667 0.333 0.250

Summary:
Distance to the lowest polymorph of the same formula ... 0.338 eV per atom
Symmetry ... P6_3/mmc


Entry 6:
The following is a GGA-PBE calculation of a geometry-optimized In2HgPt2 structure, from the Alexandria database.

Unit cell a=8.291 b=8.291 c=2.925 alpha=90.00 beta=90.00 gamma=90.00
Positions (direct):
In1 0.161 0.339 0.000
In2 0.339 0.839 0.000
In3 0.661 0.161 0.000
In4 0.839 0.661 0.000
Hg1 0.000 0.000 0.000
Hg2 0.500 0.500 0.000
Pt1 0.134 0.634 0.500
Pt2 0.366 0.134 0.500
Pt3 0.634 0.866 0.500
Pt4 0.866 0.366 0.500

Summary:
Energy relative to the elements ... -230 meV/atom
Distance to the lowest polymorph of the same formula ... 0.103 eV per atom
Symmetry ... P4/mbm


Entry 7:
The following is a GGA-PBE calculation of a geometry-optimized BeSb2I8 structure, from the Alexandria database.

Unit cell a=7.779 b=7.779 c=12.820 alpha=106.99 beta=106.99 gamma=59.02
Positions (direct):
Be1 0.000 0.000 0.000
Sb1 0.195 0.195 0.335
Sb2 0.805 0.805 0.665
I1 0.148 0.675 0.864
I2 0.270 0.270 0.585
I3 0.325 0.852 0.136
I4 0.389 0.389 0.315
I5 0.611 0.611 0.685
I6 0.675 0.148 0.864
I7 0.730 0.730 0.415
I8 0.852 0.325 0.136

Summary:
Symmetry ... C2/m
Energy ... -0.0881 hartree per atom


Entry 8:
The following is a GGA-PBE calculation of a geometry-optimized AcNd2ScSe6 structure, from the Alexandria database.

Unit cell a=7.836 b=7.836 c=7.836 alpha=56.57 beta=56.57 gamma=56.57
Positions (direct):
Ac1 0.000 0.000 0.000
Nd1 0.286 0.286 0.286
Nd2 0.796 0.796 0.796
Sc1 0.487 0.487 0.487
Se1 0.104 0.668 0.414
Se2 0.223 0.591 0.862
Se3 0.414 0.104 0.668
Se4 0.591 0.862 0.223
Se5 0.668 0.414 0.104
Se6 0.862 0.223 0.591

Summary:
Symmetry ... R3
Energy ... -0.2163 hartree per atom


Entry 9:
The following is a GGA-PBE calculation of a geometry-optimized CdGa3S structure, from the Alexandria database.

Unit cell a=5.107 b=5.107 c=5.107 alpha=90.00 beta=90.00 gamma=90.00
Positions (direct):
Cd1 0.000 0.000 0.000
Ga1 0.000 0.000 0.500
Ga2 0.000 0.500 0.000
Ga3 0.500 0.000 0.000
S1 0.500 0.500 0.500

Summary:
Distance to the lowest polymorph of the same formula ... 0.149 eV per atom
Symmetry ... Pm-3m


Entry 10:
The following is a GGA-PBE calculation of a geometry-optimized NaSrCd2Ni structure, from the Alexandria database.

Unit cell a=5.172 b=5.172 c=5.354 alpha=90.00 beta=90.00 gamma=90.00
Positions (direct):
Na1 0.000 0.000 0.000
Sr1 0.500 0.500 0.000
Cd1 0.000 0.500 0.500
Cd2 0.500 0.000 0.500
Ni1 0.500 0.500 0.500

Summary:
Energy relative to the elements ... -29 meV/atom
Distance to the lowest polymorph of the same formula ... 0.000 eV per atom
Symmetry ... P4/mmm


Entry 11:
The following is a GGA-PBE calculation of a geometry-optimized PmThMg2 structure, from the Alexandria database.

Unit cell a=5.442 b=5.442 c=5.442 alpha=60.00 beta=60.00 gamma=60.00
Positions (direct):
Pm1 0.000 0.000 0.000
Th1 0.500 0.500 0.500
Mg1 0.250 0.250 0.250
Mg2 0.750 0.750 0.750

Summary:
Energy relative to the elements ... 4 meV/atom
Distance to the lowest polymorph of the same formula ... 0.012 eV per atom
Symmetry ... Fm-3m


Entry 12:
The following is a GGA-PBE calculation of a geometry-optimized CaTeN2Cl structure, from the Alexandria database.

Unit cell a=4.585 b=4.585 c=6.634 alpha=90.00 beta=90.00 gamma=90.00
Positions (direct):
Ca1 0.000 0.000 0.000
Te1 0.000 0.000 0.500
N1 0.000 0.500 0.000
N2 0.500 0.000 0.000
Cl1 0.500 0.500 0.500

Summary:
Distance to the lowest polymorph of the same formula ... 0.000 eV per atom
Symmetry ... P4/mmm


Entry 13:
The following is a GGA-PBE calculation of a geometry-optimized RbTaPCl2 structure, from the Alexandria database.

Unit cell a=5.621 b=5.621 c=5.617 alpha=90.00 beta=90.00 gamma=90.00
Positions (direct):
Rb1 0.000 0.000 0.000
Ta1 0.500 0.500 0.500
P1 0.000 0.000 0.500
Cl1 0.000 0.500 0.000
Cl2 0.500 0.000 0.000

Summary:
Distance to the lowest polymorph of the same formula ... 2.175 eV per atom
Symmetry ... P4/mmm


Entry 14:
The following is a GGA-PBE calculation of a geometry-optimized Na2Pt2Br structure, from the Alexandria database.

Unit cell a=6.999 b=6.999 c=4.440 alpha=90.00 beta=90.00 gamma=90.00
Positions (direct):
Na1 0.166 0.334 0.000
Na2 0.334 0.834 0.000
Na3 0.666 0.166 0.000
Na4 0.834 0.666 0.000
Pt1 0.131 0.631 0.500
Pt2 0.369 0.131 0.500
Pt3 0.631 0.869 0.500
Pt4 0.869 0.369 0.500
Br1 0.000 0.000 0.500
Br2 0.500 0.500 0.500

Summary:
Distance to the lowest polymorph of the same formula ... 0.059 eV per atom
Symmetry ... P4/mbm


Entry 15:
The following is a GGA-PBE calculation of a geometry-optimized Al4Si3 structure, from the Alexandria database.

Unit cell a=4.913 b=4.913 c=5.284 alpha=90.00 beta=90.00 gamma=120.00
Positions (direct):
Al1 0.000 0.000 0.239
Al2 0.000 0.000 0.761
Al3 0.333 0.667 0.000
Al4 0.667 0.333 0.000
Si1 0.000 0.500 0.500
Si2 0.500 0.000 0.500
Si3 0.500 0.500 0.500

Summary:
Distance to the lowest polymorph of the same formula ... 0.046 eV per atom
Symmetry ... P6/mmm


Entry 16:
The following is a GGA-PBE calculation of a geometry-optimized Ba3ScC structure, from the Alexandria database.

Unit cell a=5.836 b=5.836 c=5.836 alpha=90.00 beta=90.00 gamma=90.00
Positions (direct):
Ba1 0.000 0.000 0.500
Ba2 0.000 0.500 0.000
Ba3 0.500 0.000 0.000
Sc1 0.500 0.500 0.500
C1 0.000 0.000 0.000

Summary:
Energy relative to the elements ... 720 meV/atom
Distance to the lowest polymorph of the same formula ... 0.000 eV per atom
Symmetry ... Pm-3m


Entry 17:
The following is a GGA-PBE calculation of a geometry-optimized Cs2RbHg2 structure, from the Alexandria database.

Unit cell a=8.798 b=8.798 c=8.798 alpha=138.85 beta=138.85 gamma=59.60
Positions (direct):
Cs1 0.250 0.750 0.500
Cs2 0.750 0.250 0.500
Rb1 0.000 0.000 0.000
Hg1 0.403 0.403 0.000
Hg2 0.597 0.597 0.000

Summary:
Energy relative to the elements ... -134 meV/atom
Distance to the lowest polymorph of the same formula ... 0.058 eV per atom
Symmetry ... I4/mmm


Entry 18:
The following is a GGA-PBE calculation of a geometry-optimized InAsCl2 structure, from the Alexandria database.

Unit cell a=4.917 b=4.499 c=6.057 alpha=90.00 beta=112.00 gamma=90.00
Positions (direct):
In1 0.000 0.000 0.000
As1 0.136 0.500 0.261
Cl1 0.403 0.000 0.794
Cl2 0.726 0.500 0.355

Summary:
Distance to the lowest polymorph of the same formula ... 0.000 eV per atom
Symmetry ... Pm


Entry 19:
The following is a GGA-PBE calculation of a geometry-optimized Ba2ZnHg6Bi structure, from the Alexandria database.

Unit cell a=6.220 b=9.663 c=10.563 alpha=90.00 beta=90.00 gamma=90.00
Positions (direct):
Ba1 0.250 0.015 0.243
Ba2 0.250 0.485 0.243
Ba3 0.750 0.515 0.757
Ba4 0.750 0.985 0.757
Zn1 0.250 0.250 0.740
Zn2 0.750 0.750 0.260
Hg1 0.005 0.250 0.953
Hg2 0.008 0.750 0.494
Hg3 0.250 0.001 0.604
Hg4 0.250 0.499 0.604
Hg5 0.492 0.750 0.494
Hg6 0.495 0.250 0.953
Hg7 0.505 0.750 0.047
Hg8 0.508 0.250 0.506
Hg9 0.750 0.501 0.396
Hg10 0.750 0.999 0.396
Hg11 0.992 0.250 0.506
Hg12 0.995 0.750 0.047
Bi1 0.250 0.750 0.796
Bi2 0.750 0.250 0.204

Summary:
Energy relative to the elements ... -278 meV/atom
Symmetry ... Pmmn


Entry 20:
The following is a GGA-PBE calculation of a geometry-optimized HoUIn2O8 structure, from the Alexandria database.

Unit cell a=5.010 b=5.010 c=6.852 alpha=90.00 beta=90.00 gamma=90.30
Positions (direct):
Ho1 0.000 0.000 0.000
U1 0.000 0.000 0.500
In1 0.500 0.500 0.251
In2 0.500 0.500 0.749
O1 0.188 0.812 0.269
O2 0.188 0.812 0.731
O3 0.301 0.301 0.500
O4 0.313 0.313 0.000
O5 0.687 0.687 0.000
O6 0.699 0.699 0.500
O7 0.812 0.188 0.269
O8 0.812 0.188 0.731

Summary:
Symmetry ... Cmmm
Energy ... -0.2730 hartree per atom


Entry 21:
The following is a GGA-PBE calculation of a geometry-optimized Th3TeIr structure, from the Alexandria database.

Unit cell a=7.875 b=4.045 c=10.051 alpha=90.00 beta=108.79 gamma=90.00
Positions (direct):
Th1 0.042 0.250 0.170
Th2 0.304 0.750 0.484
Th3 0.441 0.750 0.147
Th4 0.559 0.250 0.853
Th5 0.696 0.250 0.516
Th6 0.958 0.750 0.830
Te1 0.138 0.250 0.658
Te2 0.862 0.750 0.342
Ir1 0.237 0.250 0.969
Ir2 0.763 0.750 0.031

Summary:
Symmetry ... P2_1/m
Energy ... -0.2759 hartree per atom


Entry 22:
The following is a GGA-PBE calculation of a geometry-optimized Sn3PdRh structure, from the Alexandria database.

Unit cell a=5.059 b=5.059 c=5.059 alpha=90.00 beta=90.00 gamma=90.00
Positions (direct):
Sn1 0.000 0.000 0.500
Sn2 0.000 0.500 0.000
Sn3 0.500 0.000 0.000
Pd1 0.500 0.500 0.500
Rh1 0.000 0.000 0.000

Summary:
Energy relative to the elements ... 170 meV/atom
Distance to the lowest polymorph of the same formula ... 0.000 eV per atom
Symmetry ... Pm-3m


Entry 23:
The following is a GGA-PBE calculation of a geometry-optimized Sr2Tl2Pd structure, from the Alexandria database.

Unit cell a=8.106 b=8.106 c=5.275 alpha=90.00 beta=90.00 gamma=90.00
Positions (direct):
Sr1 0.171 0.329 0.000
Sr2 0.329 0.829 0.000
Sr3 0.671 0.171 0.000
Sr4 0.829 0.671 0.000
Tl1 0.142 0.642 0.500
Tl2 0.358 0.142 0.500
Tl3 0.642 0.858 0.500
Tl4 0.858 0.358 0.500
Pd1 0.000 0.000 0.000
Pd2 0.500 0.500 0.000

Summary:
Energy relative to the elements ... -107 meV/atom
Distance to the lowest polymorph of the same formula ... 0.361 eV per atom
Symmetry ... P4/mbm


Entry 24:
The following is a GGA-PBE calculation of a geometry-optimized Na2Zn2SnPt5 structure, from the Alexandria database.

Unit cell a=9.461 b=9.461 c=3.872 alpha=90.00 beta=90.00 gamma=90.00
Positions (direct):
Na1 0.174 0.326 0.000
Na2 0.326 0.826 0.000
Na3 0.674 0.174 0.000
Na4 0.826 0.674 0.000
Zn1 0.125 0.625 0.000
Zn2 0.375 0.125 0.000
Zn3 0.625 0.875 0.000
Zn4 0.875 0.375 0.000
Sn1 0.000 0.000 0.000
Sn2 0.500 0.500 0.000
Pt1 0.000 0.500 0.500
Pt2 0.068 0.793 0.500
Pt3 0.207 0.068 0.500
Pt4 0.293 0.568 0.500
Pt5 0.432 0.293 0.500
Pt6 0.500 0.000 0.500
Pt7 0.568 0.707 0.500
Pt8 0.707 0.432 0.500
Pt9 0.793 0.932 0.500
Pt10 0.932 0.207 0.500

Summary:
Energy relative to the elements ... -417 meV/atom
Symmetry ... P4/mbm